Record 1
NaYNbSb2 | PBE-GGA | optimized geometry

abc: 5.7970 5.7970 5.3240
angles: 90.00 90.00 90.00
Space group P4/mmm (No. 123)
Asymmetric unit:
Na1 0.0000 0.0000 0.0000
Y1 0.5000 0.5000 0.5000
Nb1 0.5000 0.5000 0.0000
Sb1 0.0000 0.5000 0.5000

E_tot = -4.4360 eV/atom
Calculated volume = 178.9 Å³/cell
Calculated density = 4.16 g/cm³
Energy relative to the elements, uncorrected = 784 meV per atom

=====

Record 2
RbSiH6 | PBE-GGA | optimized geometry

abc: 5.4645 5.4645 10.3387
angles: 90.00 90.00 120.00
Space group R-3m (No. 166, hexagonal axes)
Asymmetric unit:
Rb1 0.0000 0.0000 0.0000
Si1 0.0000 0.0000 0.5000
H1 0.0610 0.5305 0.0726

E_tot = -3.2198 eV/atom
Calculated volume = 267.4 Å³/cell
Calculated density = 2.23 g/cm³

=====

Record 3
RbTlCl3 | PBE-GGA | optimized geometry

abc: 6.0946 6.0946 6.0946
angles: 90.00 90.00 90.00
Space group Pm-3m (No. 221)
Asymmetric unit:
Rb1 0.0000 0.0000 0.0000
Tl1 0.5000 0.5000 0.5000
Cl1 0.0000 0.0000 0.5000

E_tot = -2.5347 eV/atom
Calculated volume = 226.4 Å³/cell
Calculated density = 2.91 g/cm³
Energy relative to the elements, uncorrected = -760 meV per atom

=====

Question: What is the calculated volume in the third record?
Answer: 226.4 Å³/cell